# 1
SrCo2TcMo after structural relaxation. Source: Alexandria via LeMat-Bulk, functional PBE.

Density = 6.3 g/cm³
Total magnetization = 3.9 μB per formula unit
Formation energy from the elements = 1.839 eV per atom

a b c (Å): 4.464 4.464 5.265
angles (deg): 90.00 90.00 90.00
Space group P4/mmm (No. 123)
Symmetry-distinct sites (fractional):
Sr 0.000 0.000 0.000 [1 per cell]
Co 0.000 0.500 0.500 [2 per cell]
Tc 0.500 0.500 0.000 [1 per cell]
Mo 0.000 0.000 0.500 [1 per cell]

# 2
SrTlCo2Mo after structural relaxation. Source: Alexandria via LeMat-Bulk, functional PBE.

Density = 7.6 g/cm³
Total magnetization = 0.0 μB per formula unit
Formation energy from the elements = 2.434 eV per atom

a b c (Å): 4.452 4.452 5.591
angles (deg): 90.00 90.00 90.00
Space group P4/mmm (No. 123)
Symmetry-distinct sites (fractional):
Sr 0.000 0.000 0.000 [1 per cell]
Tl 0.000 0.000 0.500 [1 per cell]
Co 0.000 0.500 0.000 [2 per cell]
Mo 0.500 0.500 0.500 [1 per cell]

# 3
SrCoMoW2 after structural relaxation. Source: Alexandria via LeMat-Bulk, functional PBE.

Density = 9.8 g/cm³
Total magnetization = 0.0 μB per formula unit
Formation energy from the elements = 3.755 eV per atom

a b c (Å): 4.723 4.723 4.641
angles (deg): 90.00 90.00 90.00
Space group P4/mmm (No. 123)
Symmetry-distinct sites (fractional):
Sr 0.000 0.000 0.000 [1 per cell]
Co 0.500 0.500 0.500 [1 per cell]
Mo 0.000 0.000 0.500 [1 per cell]
W 0.000 0.500 0.000 [2 per cell]